1.
Compound: Gd2Al4FeGe2
Source: OQMD via LeMat-Bulk
Functional: PBE
Structure: relaxed

Structure (POSCAR):
```
Gd2Al4FeGe2
1.0
-8.7973 -3.3337 4.2592
-10.2709 -0.7308 -0.7875
9.8239 -0.5266 -3.1402
Al Ge Fe Gd
4 2 1 2
Direct
0.5650 0.0650 0.5000 Al
0.4350 0.9350 0.5000 Al
0.0650 0.5650 0.5000 Al
0.9350 0.4350 0.5000 Al
0.6636 0.6636 0.0000 Ge
0.3364 0.3364 0.0000 Ge
0.0000 0.0000 0.0000 Fe
0.8170 0.8170 0.0000 Gd
0.1830 0.1830 0.0000 Gd
```

The value obtained for the electronic total energy is -5.243 eV/atom. Its space-group type is I4/mmm, No. 139.

=====

2.
Compound: NaCoAuSeS2
Source: OQMD via LeMat-Bulk
Functional: PBE
Structure: relaxed

Structure (POSCAR):
```
NaCoAuSeS2
1.0
1.6710 -7.4555 0.0000
1.6710 7.4555 0.0000
0.0000 0.0000 9.6081
Au S Na Co Se
2 4 2 2 2
Direct
0.3749 0.6251 0.2500 Au
0.6251 0.3749 0.7500 Au
0.6039 0.3961 0.5109 S
0.3961 0.6039 0.0109 S
0.3961 0.6039 0.4891 S
0.6039 0.3961 0.9891 S
0.7113 0.2887 0.2500 Na
0.2887 0.7113 0.7500 Na
0.0000 0.0000 0.5000 Co
0.0000 0.0000 0.0000 Co
0.0471 0.9529 0.2500 Se
0.9529 0.0471 0.7500 Se
```

The value obtained for the electronic total energy is -4.205 eV/atom. Its space-group type is Cmcm, No. 63.

=====

3.
Compound: TbHoIn4Pt2
Source: OQMD via LeMat-Bulk
Functional: PBE
Structure: relaxed

Structure (POSCAR):
```
TbHoIn4Pt2
1.0
-1.6770 -3.8273 -6.5058
-5.5057 0.2143 1.2932
-4.1716 3.6683 -1.0827
In Pt Ho Tb
4 2 1 1
Direct
0.1995 0.1373 0.1373 In
0.2995 0.8629 0.8629 In
0.7005 0.8629 0.8629 In
0.8005 0.1373 0.1373 In
0.0000 0.7165 0.7165 Pt
0.5000 0.2833 0.2833 Pt
0.0000 0.4274 0.4274 Ho
0.5000 0.5724 0.5724 Tb
```

The value obtained for the electronic total energy is -4.770 eV/atom. Its space-group type is Amm2, No. 38.

=====

4.
Compound: Zr3In
Source: OQMD via LeMat-Bulk
Functional: PBE
Structure: relaxed

Structure (POSCAR):
```
Zr3In
1.0
5.6118 0.0000 0.0000
0.0000 6.2508 0.0000
0.0000 0.0000 5.2468
Zr In
6 2
Direct
0.5080 0.2499 0.0000 Zr
0.3155 0.0000 0.5000 Zr
0.8253 0.7499 0.5000 Zr
0.0179 0.5000 0.0000 Zr
0.8253 0.2501 0.5000 Zr
0.5080 0.7501 0.0000 Zr
0.0007 0.0000 0.0000 In
0.3326 0.5000 0.5000 In
```

The value obtained for the electronic total energy is -7.295 eV/atom. Its space-group type is Pmmn, No. 59.

=====

5.
Compound: MgAg
Source: OQMD via LeMat-Bulk
Functional: PBE
Structure: relaxed

Structure (POSCAR):
```
MgAg
1.0
-13.8051 -5.9683 1.0215
1.9083 -4.9345 -3.0411
1.2203 -2.1065 4.1838
Mg Ag
12 12
Direct
0.8394 0.2397 0.0000 Mg
0.6051 0.2397 0.5000 Mg
0.7838 0.4965 0.5000 Mg
0.2838 0.2535 0.5000 Mg
0.3394 0.5103 0.0000 Mg
0.1088 0.9894 0.5000 Mg
0.6606 0.4965 0.0000 Mg
0.6088 0.7606 0.5000 Mg
0.3357 0.9894 0.0000 Mg
0.1606 0.2535 0.0000 Mg
0.8357 0.7606 0.0000 Mg
0.1051 0.5103 0.5000 Mg
0.2765 0.7468 0.5000 Ag
0.4421 0.9970 0.5000 Ag
0.6679 0.0032 0.0000 Ag
0.1679 0.7468 0.0000 Ag
0.5023 0.7530 0.0000 Ag
0.0023 0.9970 0.0000 Ag
0.9463 0.2474 0.5000 Ag
0.9981 0.5026 0.0000 Ag
0.4981 0.2474 0.0000 Ag
0.9421 0.7530 0.5000 Ag
0.7765 0.0032 0.5000 Ag
0.4463 0.5026 0.5000 Ag
```

The value obtained for the electronic total energy is -2.322 eV/atom. Its space-group type is Pbcm, No. 57.

=====

6.
Compound: FeH
Source: OQMD via LeMat-Bulk
Functional: PBE
Structure: relaxed

Structure (POSCAR):
```
FeH
1.0
-2.2970 0.3234 1.2323
0.5355 -2.2716 -1.2051
1.7273 -1.5114 3.6165
Fe H
2 2
Direct
0.3333 0.6667 0.2500 Fe
0.6667 0.3333 0.7500 Fe
0.0000 0.0000 0.0000 H
0.0000 0.0000 0.5000 H
```

The value obtained for the electronic total energy is -5.848 eV/atom. Its space-group type is P6_3/mmc, No. 194.

=====

7.
Compound: PrCdAsO
Source: OQMD via LeMat-Bulk
Functional: PBE
Structure: relaxed

Structure (POSCAR):
```
PrCdAsO
1.0
-4.8614 0.5769 -1.5815
-1.4868 -1.2656 4.1087
0.1103 6.6733 2.0955
Pr As Cd O
2 2 2 2
Direct
0.5000 0.2070 0.5872 Pr
0.5000 0.7930 0.0872 Pr
0.0000 0.1521 0.2917 As
0.0000 0.8479 0.7917 As
0.0000 0.3521 0.9526 Cd
0.0000 0.6479 0.4526 Cd
0.5000 0.6798 0.4224 O
0.5000 0.3202 0.9224 O
```

The value obtained for the electronic total energy is -5.232 eV/atom. Its space-group type is Pmc2_1, No. 26.

=====

8.
Compound: NdAlGaCu2
Source: OQMD via LeMat-Bulk
Functional: PBE
Structure: relaxed

Structure (POSCAR):
```
NdAlGaCu2
1.0
-1.4282 -0.1898 3.9628
-0.1787 -4.2044 -0.2658
9.5510 -0.6217 3.4124
Cu Nd Ga Al
4 2 2 2
Direct
0.5000 0.0000 0.3686 Cu
0.0000 0.0000 0.0000 Cu
0.5000 0.5000 0.0000 Cu
0.0000 0.5000 0.6314 Cu
0.0000 0.5000 0.2420 Nd
0.5000 0.0000 0.7580 Nd
0.5000 0.0000 0.1285 Ga
0.0000 0.5000 0.8715 Ga
0.0000 0.0000 0.5000 Al
0.5000 0.5000 0.5000 Al
```

The value obtained for the electronic total energy is -4.233 eV/atom. Its space-group type is P4/nmm, No. 129.

=====

9.
Compound: Ho2Sc2CBr5
Source: OQMD via LeMat-Bulk
Functional: PBE
Structure: relaxed

Structure (POSCAR):
```
Ho2Sc2CBr5
1.0
0.6181 1.6459 -8.7276
-2.2559 -0.6918 -8.5845
-4.5904 5.7992 2.5447
Br Ho Sc C
5 2 2 1
Direct
0.1608 0.1608 0.3476 Br
0.5000 0.5000 0.5000 Br
0.8333 0.8333 0.1831 Br
0.8392 0.8392 0.6524 Br
0.1667 0.1667 0.8169 Br
0.6383 0.6383 0.0715 Ho
0.3617 0.3617 0.9285 Ho
0.0000 0.0000 0.1918 Sc
0.0000 0.0000 0.8082 Sc
0.5000 0.5000 0.0000 C
```

The value obtained for the electronic total energy is -5.323 eV/atom. Its space-group type is C2/m, No. 12. As for the relative energy among the computed polymorphs: 0.35 eV per formula unit.

=====

10.
Compound: NaZrBiOs
Source: OQMD via LeMat-Bulk
Functional: PBE
Structure: relaxed

Structure (POSCAR):
```
NaZrBiOs
1.0
1.5497 -4.1883 -1.9422
-3.0655 -2.7700 -2.5778
0.5434 -0.3934 -4.8234
Na Os Bi Zr
1 1 1 1
Direct
0.7500 0.7500 0.7500 Na
0.5000 0.5000 0.5000 Os
0.0000 0.0000 0.0000 Bi
0.2500 0.2500 0.2500 Zr
```

The value obtained for the electronic total energy is -5.956 eV/atom. Its space-group type is F-43m, No. 216. As for the relative energy among the computed polymorphs: 1.03 eV per formula unit.

=====

11.
Compound: Ho3Mg3InGa2
Source: OQMD via LeMat-Bulk
Functional: PBE
Structure: relaxed

Structure (POSCAR):
```
Ho3Mg3InGa2
1.0
7.2949 0.0000 0.0000
-3.6475 6.3176 0.0000
0.0000 0.0000 4.5406
Mg In Ho Ga
3 1 3 2
Direct
0.2496 0.0000 0.5000 Mg
0.7504 0.7504 0.5000 Mg
0.0000 0.2496 0.5000 Mg
0.0000 0.0000 0.0000 In
0.4387 0.4387 0.0000 Ho
0.5613 0.0000 0.0000 Ho
0.0000 0.5613 0.0000 Ho
0.3333 0.6667 0.5000 Ga
0.6667 0.3333 0.5000 Ga
```

The value obtained for the electronic total energy is -3.474 eV/atom. Its space-group type is P-62m, No. 189.

=====

12.
Compound: Li2TbCl6
Source: OQMD via LeMat-Bulk
Functional: PBE
Structure: relaxed

Structure (POSCAR):
```
Li2TbCl6
1.0
0.0000 4.9822 4.9822
4.9822 0.0000 4.9822
4.9822 4.9822 0.0000
Li Cl Tb
2 6 1
Direct
0.2500 0.2500 0.2500 Li
0.7500 0.7500 0.7500 Li
0.7386 0.2614 0.2614 Cl
0.2614 0.7386 0.7386 Cl
0.7386 0.7386 0.2614 Cl
0.2614 0.2614 0.7386 Cl
0.7386 0.2614 0.7386 Cl
0.2614 0.7386 0.2614 Cl
0.0000 0.0000 0.0000 Tb
```

The value obtained for the electronic total energy is -3.577 eV/atom. Its space-group type is Fm-3m, No. 225.